--- i ---
VASP calculation (PBE) on a relaxed BiHPb3 crystal.

Computed properties:
* magnetic moment: 0.0 μB/f.u.
* N(E_F): 2.89 states/eV/cell

Cell and atoms, written as CIF:
```
data_BiHPb3
_chemical_formula_sum 'Bi1 H1 Pb3'
_cell_length_a 5.075
_cell_length_b 5.075
_cell_length_c 5.075
_cell_angle_alpha 90.00
_cell_angle_beta 90.00
_cell_angle_gamma 90.00
_space_group_name_H-M_alt 'P m -3 m'
_space_group_IT_number 221
_space_group_name_Hall '-P 4 2 3'
loop_
_atom_site_label
_atom_site_type_symbol
_atom_site_fract_x
_atom_site_fract_y
_atom_site_fract_z
_atom_site_occupancy
Bi1 Bi 0.000 0.000 0.000 1
H1 H 0.500 0.500 0.500 1
Pb1 Pb 0.000 0.500 0.500 1
```

--- ii ---
VASP calculation (PBE) on a relaxed BiHPb3 crystal.

Computed properties:
* magnetic moment: 0.0 μB/f.u.
* N(E_F): 3.19 states/eV/cell

Cell and atoms, written as CIF:
```
data_BiHPb3
_chemical_formula_sum 'Bi2 H2 Pb6'
_cell_length_a 6.562
_cell_length_b 6.695
_cell_length_c 6.832
_cell_angle_alpha 64.09
_cell_angle_beta 86.55
_cell_angle_gamma 88.03
_space_group_name_H-M_alt 'P -1'
_space_group_IT_number 2
loop_
_space_group_symop_operation_xyz
'x,y,z'
'-x,-y,-z'
loop_
_atom_site_label
_atom_site_type_symbol
_atom_site_fract_x
_atom_site_fract_y
_atom_site_fract_z
_atom_site_occupancy
Bi1 Bi 0.098 0.309 0.239 1
H1 H 0.385 0.449 0.708 1
Pb1 Pb 0.098 0.217 0.754 1
Pb2 Pb 0.346 0.805 0.501 1
Pb3 Pb 0.407 0.737 0.041 1
```

Winner for stability: ii

--- i ---
VASP calculation (PBE) on a relaxed Bi2HPtPb crystal.

Computed properties:
* magnetic moment: 0.0 μB/f.u.
* N(E_F): 1.89 states/eV/cell

Cell and atoms, written as CIF:
```
data_Bi2HPtPb
_chemical_formula_sum 'Bi2 H1 Pt1 Pb1'
_cell_length_a 5.780
_cell_length_b 5.780
_cell_length_c 3.485
_cell_angle_alpha 90.00
_cell_angle_beta 90.00
_cell_angle_gamma 90.00
_space_group_name_H-M_alt 'P 4/m m m'
_space_group_IT_number 123
_space_group_name_Hall '-P 4 2'
loop_
_atom_site_label
_atom_site_type_symbol
_atom_site_fract_x
_atom_site_fract_y
_atom_site_fract_z
_atom_site_occupancy
Bi1 Bi 0.000 0.500 0.000 1
H1 H 0.000 0.000 0.500 1
Pt1 Pt 0.000 0.000 0.000 1
Pb1 Pb 0.500 0.500 0.500 1
```

--- ii ---
VASP calculation (PBE) on a relaxed Bi2HPtPb crystal.

Computed properties:
* magnetic moment: 0.0 μB/f.u.
* N(E_F): 2.83 states/eV/cell

Cell and atoms, written as CIF:
```
data_Bi2HPtPb
_chemical_formula_sum 'Bi2 H1 Pt1 Pb1'
_cell_length_a 4.827
_cell_length_b 4.827
_cell_length_c 4.692
_cell_angle_alpha 90.00
_cell_angle_beta 90.00
_cell_angle_gamma 90.00
_space_group_name_H-M_alt 'P 4/m m m'
_space_group_IT_number 123
_space_group_name_Hall '-P 4 2'
loop_
_atom_site_label
_atom_site_type_symbol
_atom_site_fract_x
_atom_site_fract_y
_atom_site_fract_z
_atom_site_occupancy
Bi1 Bi 0.000 0.500 0.000 1
H1 H 0.000 0.000 0.000 1
Pt1 Pt 0.500 0.500 0.500 1
Pb1 Pb 0.000 0.000 0.500 1
```

Winner for stability: i

--- i ---
VASP calculation (PBE) on a relaxed Tl2BiHPb crystal.

Computed properties:
* magnetic moment: 0.0 μB/f.u.
* N(E_F): 1.62 states/eV/cell

Cell and atoms, written as CIF:
```
data_Tl2BiHPb
_chemical_formula_sum 'Tl2 Bi1 H1 Pb1'
_cell_length_a 5.376
_cell_length_b 5.376
_cell_length_c 4.559
_cell_angle_alpha 90.00
_cell_angle_beta 90.00
_cell_angle_gamma 90.00
_space_group_name_H-M_alt 'P 4/m m m'
_space_group_IT_number 123
_space_group_name_Hall '-P 4 2'
loop_
_atom_site_label
_atom_site_type_symbol
_atom_site_fract_x
_atom_site_fract_y
_atom_site_fract_z
_atom_site_occupancy
Tl1 Tl 0.000 0.500 0.000 1
Bi1 Bi 0.000 0.000 0.500 1
H1 H 0.000 0.000 0.000 1
Pb1 Pb 0.500 0.500 0.500 1
```

--- ii ---
VASP calculation (PBE) on a relaxed Tl2BiHPb crystal.

Computed properties:
* magnetic moment: 0.0 μB/f.u.
* N(E_F): 2.10 states/eV/cell

Cell and atoms, written as CIF:
```
data_Tl2BiHPb
_chemical_formula_sum 'Tl2 Bi1 H1 Pb1'
_cell_length_a 5.073
_cell_length_b 5.073
_cell_length_c 5.121
_cell_angle_alpha 90.00
_cell_angle_beta 90.00
_cell_angle_gamma 90.00
_space_group_name_H-M_alt 'P 4/m m m'
_space_group_IT_number 123
_space_group_name_Hall '-P 4 2'
loop_
_atom_site_label
_atom_site_type_symbol
_atom_site_fract_x
_atom_site_fract_y
_atom_site_fract_z
_atom_site_occupancy
Tl1 Tl 0.000 0.500 0.000 1
Bi1 Bi 0.000 0.000 0.500 1
H1 H 0.500 0.500 0.000 1
Pb1 Pb 0.500 0.500 0.500 1
```

Winner for stability: ii

--- i ---
VASP calculation (PBE) on a relaxed BiH2Pd5 crystal.

Computed properties:
* magnetic moment: 0.0 μB/f.u.
* N(E_F): 15.20 states/eV/cell

Cell and atoms, written as CIF:
```
data_BiH2Pd5
_chemical_formula_sum 'Bi4 H8 Pd20'
_cell_length_a 3.092
_cell_length_b 10.804
_cell_length_c 13.295
_cell_angle_alpha 90.00
_cell_angle_beta 90.00
_cell_angle_gamma 90.00
_space_group_name_H-M_alt 'C m c m'
_space_group_IT_number 63
_space_group_name_Hall '-C 2c 2'
loop_
_atom_site_label
_atom_site_type_symbol
_atom_site_fract_x
_atom_site_fract_y
_atom_site_fract_z
_atom_site_occupancy
Bi1 Bi 0.000 0.049 0.250 1
H1 H 0.000 0.406 0.542 1
Pd1 Pd 0.000 0.179 0.073 1
Pd2 Pd 0.000 0.216 0.750 1
Pd3 Pd 0.000 0.432 0.096 1
```

--- ii ---
VASP calculation (PBE) on a relaxed BiH2Pd5 crystal.

Computed properties:
* magnetic moment: 0.0 μB/f.u.
* N(E_F): 7.18 states/eV/cell

Cell and atoms, written as CIF:
```
data_BiH2Pd5
_chemical_formula_sum 'Bi2 H4 Pd10'
_cell_length_a 4.017
_cell_length_b 4.017
_cell_length_c 13.932
_cell_angle_alpha 90.00
_cell_angle_beta 90.00
_cell_angle_gamma 90.00
_space_group_name_H-M_alt 'I 4/m m m'
_space_group_IT_number 139
_space_group_name_Hall '-I 4 2'
loop_
_atom_site_label
_atom_site_type_symbol
_atom_site_fract_x
_atom_site_fract_y
_atom_site_fract_z
_atom_site_occupancy
Bi1 Bi 0.000 0.000 0.000 1
H1 H 0.000 0.000 0.340 1
Pd1 Pd 0.000 0.000 0.500 1
Pd2 Pd 0.000 0.500 0.153 1
```

Winner for stability: i

--- i ---
VASP calculation (PBE) on a relaxed BiH3Pd3 crystal.

Computed properties:
* magnetic moment: 0.0 μB/f.u.
* N(E_F): 13.32 states/eV/cell

Cell and atoms, written as CIF:
```
data_BiH3Pd3
_chemical_formula_sum 'Bi6 H18 Pd18'
_cell_length_a 7.4937
_cell_length_b 7.4937
_cell_length_c 10.4364
_cell_angle_alpha 90.00
_cell_angle_beta 90.00
_cell_angle_gamma 120.00
_space_group_name_H-M_alt 'R -3'
_space_group_IT_number 148
_space_group_name_Hall '-R 3'
loop_
_atom_site_label
_atom_site_type_symbol
_atom_site_fract_x
_atom_site_fract_y
_atom_site_fract_z
_atom_site_occupancy
Bi1 Bi 0.0000 0.0000 0.1589 1
H1 H 0.0287 0.2640 0.4203 1
Pd1 Pd 0.0383 0.2582 0.6125 1
```

--- ii ---
VASP calculation (PBE) on a relaxed BiH3Pd3 crystal.

Computed properties:
* magnetic moment: 0.0 μB/f.u.
* N(E_F): 10.70 states/eV/cell

Cell and atoms, written as CIF:
```
data_BiH3Pd3
_chemical_formula_sum 'Bi6 H18 Pd18'
_cell_length_a 5.4237
_cell_length_b 5.4237
_cell_length_c 21.5408
_cell_angle_alpha 90.00
_cell_angle_beta 90.00
_cell_angle_gamma 120.00
_space_group_name_H-M_alt 'R -3'
_space_group_IT_number 148
_space_group_name_Hall '-R 3'
loop_
_atom_site_label
_atom_site_type_symbol
_atom_site_fract_x
_atom_site_fract_y
_atom_site_fract_z
_atom_site_occupancy
Bi1 Bi 0.0000 0.0000 0.1658 1
H1 H 0.0015 0.3227 0.6272 1
Pd1 Pd 0.0021 0.3413 0.3885 1
```

Winner for stability: i